Fe46B3C9 | meta-GGA SCAN | PBEsol geometry

Output
Calculated density: 8.2 g/cm³
Size of the total moment: 106.6 μB/cell
Total energy: -16.334 eV/atom

a b c (Å): 7.285 7.293 12.615
angles (deg): 73.50 73.39 60.13
Sites, in units of the cell vectors:
Fe1 0.000 0.000 0.000
Fe2 0.000 0.663 0.337
Fe3 0.007 0.661 0.998
Fe4 0.024 0.021 0.596
Fe5 0.139 0.141 0.243
Fe6 0.162 0.507 0.498
Fe7 0.163 0.162 0.838
Fe8 0.164 0.499 0.837
Fe9 0.166 0.831 0.169
Fe10 0.168 0.495 0.169
Fe11 0.208 0.207 0.044
Fe12 0.257 0.787 0.361
Fe13 0.260 0.261 0.359
Fe14 0.292 0.756 0.861
Fe15 0.330 0.328 0.666
Fe16 0.332 0.667 0.669
Fe17 0.335 0.986 0.672
Fe18 0.380 0.901 0.479
Fe19 0.404 0.876 0.977
Fe20 0.407 0.408 0.976
Fe21 0.461 0.456 0.294
Fe22 0.485 0.832 0.169
Fe23 0.492 0.176 0.166
Fe24 0.500 0.163 0.837
Fe25 0.502 0.500 0.500
Fe26 0.509 0.160 0.498
Fe27 0.522 0.522 0.095
Fe28 0.641 0.639 0.744
Fe29 0.660 0.008 0.997
Fe30 0.666 0.655 0.340
Fe31 0.668 0.001 0.339
Fe32 0.668 0.331 0.669
Fe33 0.671 0.992 0.669
Fe34 0.710 0.706 0.545
Fe35 0.756 0.291 0.861
Fe36 0.759 0.758 0.859
Fe37 0.794 0.255 0.361
Fe38 0.819 0.831 0.169
Fe39 0.831 0.168 0.169
Fe40 0.834 0.487 0.171
Fe41 0.877 0.404 0.977
Fe42 0.906 0.375 0.478
Fe43 0.910 0.906 0.478
Fe44 0.958 0.957 0.795
Fe45 0.988 0.333 0.671
Fe46 0.994 0.669 0.669
B1 0.198 0.195 0.534
B2 0.425 0.968 0.306
B3 0.697 0.695 0.032
C1 0.196 0.748 0.531
C2 0.249 0.694 0.031
C3 0.471 0.469 0.807
C4 0.472 0.916 0.808
C5 0.695 0.249 0.030
C6 0.750 0.193 0.531
C7 0.917 0.471 0.808
C8 0.974 0.969 0.307
C9 0.975 0.414 0.308

=====

KLiRe2N | meta-GGA SCAN | PBEsol geometry

Output
Calculated density: 9.8 g/cm³
Size of the total moment: 0.0 μB/cell
E_form (uncorrected): 2.76 eV/atom
Total energy: -29.680 eV/atom

a b c (Å): 4.279 4.279 4.017
angles (deg): 90.00 90.00 90.00
Sites, in units of the cell vectors:
K1 0.000 0.000 0.000
Li1 0.500 0.500 0.500
Re1 0.000 0.500 0.500
Re2 0.500 0.000 0.500
N1 0.500 0.500 0.000

=====

MoOs2Pd | meta-GGA SCAN | PBEsol geometry

Output
Calculated density: 16.6 g/cm³
Size of the total moment: 0.0 μB/cell
Total energy: -52.461 eV/atom

a b c (Å): 6.151 6.151 6.151
angles (deg): 90.00 90.00 90.00
Sites, in units of the cell vectors:
Mo1 0.000 0.000 0.000
Mo2 0.000 0.500 0.500
Mo3 0.500 0.000 0.500
Mo4 0.500 0.500 0.000
Os1 0.250 0.250 0.250
Os2 0.250 0.250 0.750
Os3 0.250 0.750 0.250
Os4 0.250 0.750 0.750
Os5 0.750 0.250 0.250
Os6 0.750 0.250 0.750
Os7 0.750 0.750 0.250
Os8 0.750 0.750 0.750
Pd1 0.000 0.000 0.500
Pd2 0.000 0.500 0.000
Pd3 0.500 0.000 0.000
Pd4 0.500 0.500 0.500

=====

Cs2ZrAl2Mo6O24 | meta-GGA SCAN | PBEsol geometry

Output
Calculated density: 3.9 g/cm³
Size of the total moment: 0.0 μB/cell
E_form (uncorrected): -2.51 eV/atom
Total energy: -16.239 eV/atom

a b c (Å): 8.373 8.377 8.649
angles (deg): 99.17 98.90 99.19
Sites, in units of the cell vectors:
Cs1 0.170 0.173 0.179
Cs2 0.830 0.827 0.821
Zr1 0.500 0.500 0.000
Al1 0.000 0.500 0.500
Al2 0.500 0.000 0.500
Mo1 0.206 0.684 0.237
Mo2 0.222 0.204 0.657
Mo3 0.311 0.781 0.776
Mo4 0.689 0.219 0.224
Mo5 0.778 0.796 0.343
Mo6 0.794 0.316 0.763
O1 0.027 0.721 0.137
O2 0.101 0.023 0.670
O3 0.109 0.334 0.562
O4 0.119 0.653 0.681
O5 0.163 0.562 0.380
O6 0.280 0.904 0.943
O7 0.307 0.566 0.103
O8 0.332 0.875 0.333
O9 0.337 0.303 0.852
O10 0.366 0.159 0.533
O11 0.409 0.894 0.651
O12 0.452 0.652 0.837
O13 0.548 0.348 0.163
O14 0.591 0.106 0.349
O15 0.634 0.841 0.467
O16 0.663 0.697 0.148
O17 0.668 0.125 0.667
O18 0.693 0.434 0.897
O19 0.720 0.096 0.057
O20 0.837 0.438 0.620
O21 0.881 0.347 0.319
O22 0.891 0.666 0.438
O23 0.899 0.977 0.330
O24 0.973 0.279 0.863

=====

HIr2S | meta-GGA SCAN | PBEsol geometry

Output
Calculated density: 13.9 g/cm³
Size of the total moment: 0.0 μB/cell
Total energy: -38.616 eV/atom

a b c (Å): 4.692 4.692 9.049
angles (deg): 90.00 90.00 90.00
Sites, in units of the cell vectors:
H1 0.000 0.000 0.000
H2 0.000 0.500 0.250
H3 0.500 0.000 0.750
H4 0.500 0.500 0.500
Ir1 0.171 0.250 0.125
Ir2 0.250 0.671 0.375
Ir3 0.250 0.829 0.875
Ir4 0.329 0.250 0.625
Ir5 0.671 0.750 0.625
Ir6 0.750 0.171 0.875
Ir7 0.750 0.329 0.375
Ir8 0.829 0.750 0.125
S1 0.000 0.000 0.500
S2 0.000 0.500 0.750
S3 0.500 0.000 0.250
S4 0.500 0.500 0.000

=====

KNaNO2 | meta-GGA SCAN | PBEsol geometry

Output
Calculated density: 1.6 g/cm³
Size of the total moment: 5.0 μB/cell
E_form (uncorrected): 0.70 eV/atom
Total energy: -6.156 eV/atom

a b c (Å): 4.757 4.757 4.975
angles (deg): 90.00 90.00 90.00
Sites, in units of the cell vectors:
K1 0.000 0.000 0.000
Na1 0.500 0.500 0.500
N1 0.000 0.000 0.500
O1 0.000 0.500 0.000
O2 0.500 0.000 0.000

=====

Ba2TaMnO6 | meta-GGA SCAN | PBEsol geometry

Output
Calculated density: 7.6 g/cm³
Size of the total moment: 8.0 μB/cell
E_form (uncorrected): -3.01 eV/atom
Total energy: -23.144 eV/atom

a b c (Å): 5.684 5.684 9.805
angles (deg): 105.15 105.15 61.32
Sites, in units of the cell vectors:
Ba1 0.114 0.636 0.875
Ba2 0.364 0.886 0.625
Ba3 0.636 0.114 0.375
Ba4 0.886 0.364 0.125
Ta1 0.265 0.735 0.250
Ta2 0.735 0.265 0.750
Mn1 0.000 0.500 0.500
Mn2 0.500 0.000 0.000
O1 0.087 0.152 0.871
O2 0.140 0.606 0.377
O3 0.152 0.087 0.371
O4 0.353 0.394 0.627
O5 0.394 0.353 0.127
O6 0.394 0.860 0.123
O7 0.606 0.140 0.877
O8 0.606 0.647 0.873
O9 0.647 0.606 0.373
O10 0.848 0.913 0.629
O11 0.860 0.394 0.623
O12 0.913 0.848 0.129

=====

FeCu2Pt | meta-GGA SCAN | PBEsol geometry

Output
Calculated density: 12.7 g/cm³
Size of the total moment: 7.4 μB/cell
Total energy: -29.862 eV/atom

a b c (Å): 3.686 3.686 7.299
angles (deg): 90.00 90.00 90.00
Sites, in units of the cell vectors:
Fe1 0.000 0.000 0.000
Fe2 0.500 0.500 0.500
Cu1 0.000 0.000 0.500
Cu2 0.000 0.500 0.750
Cu3 0.500 0.000 0.250
Cu4 0.500 0.500 0.000
Pt1 0.000 0.500 0.250
Pt2 0.500 0.000 0.750

=====

LuMg16Al12 | meta-GGA SCAN | PBEsol geometry

Output
Calculated density: 2.6 g/cm³
Size of the total moment: 0.0 μB/cell
Total energy: -7.921 eV/atom
E above lowest polymorph: 9 meV per atom

a b c (Å): 9.120 9.120 9.120
angles (deg): 109.95 109.95 109.95
Sites, in units of the cell vectors:
Lu1 0.000 0.000 0.000
Mg1 0.056 0.056 0.654
Mg2 0.056 0.654 0.056
Mg3 0.094 0.765 0.765
Mg4 0.371 0.371 0.371
Mg5 0.371 0.684 0.977
Mg6 0.371 0.977 0.684
Mg7 0.374 0.374 0.716
Mg8 0.374 0.716 0.374
Mg9 0.654 0.056 0.056
Mg10 0.684 0.371 0.977
Mg11 0.684 0.977 0.371
Mg12 0.716 0.374 0.374
Mg13 0.765 0.094 0.765
Mg14 0.765 0.765 0.094
Mg15 0.977 0.371 0.684
Mg16 0.977 0.684 0.371
Al1 0.005 0.184 0.367
Al2 0.005 0.367 0.184
Al3 0.184 0.005 0.367
Al4 0.184 0.367 0.005
Al5 0.198 0.560 0.560
Al6 0.367 0.005 0.184
Al7 0.367 0.184 0.005
Al8 0.560 0.198 0.560
Al9 0.560 0.560 0.198
Al10 0.563 0.746 0.746
Al11 0.746 0.563 0.746
Al12 0.746 0.746 0.563

=====

ReAg2As | meta-GGA SCAN | PBEsol geometry

Output
Calculated density: 12.3 g/cm³
Size of the total moment: 0.0 μB/cell
Total energy: -38.012 eV/atom

a b c (Å): 2.818 2.818 28.124
angles (deg): 90.00 90.00 120.00
Sites, in units of the cell vectors:
Re1 0.000 0.000 0.000
Re2 0.333 0.667 0.667
Re3 0.667 0.333 0.333
Ag1 0.000 0.000 0.251
Ag2 0.000 0.000 0.749
Ag3 0.333 0.667 0.416
Ag4 0.333 0.667 0.918
Ag5 0.667 0.333 0.082
Ag6 0.667 0.333 0.584
As1 0.000 0.000 0.500
As2 0.333 0.667 0.167
As3 0.667 0.333 0.833

=====

AlPN2 | meta-GGA SCAN | PBEsol geometry

Output
Calculated density: 3.2 g/cm³
Size of the total moment: 0.0 μB/cell
E_form (uncorrected): -0.02 eV/atom
Total energy: -9.200 eV/atom
E above lowest polymorph: 541 meV per atom

a b c (Å): 4.264 4.264 9.704
angles (deg): 90.00 90.00 90.00
Sites, in units of the cell vectors:
Al1 0.000 0.000 0.000
Al2 0.000 0.500 0.250
Al3 0.500 0.000 0.750
Al4 0.500 0.500 0.500
P1 0.000 0.000 0.500
P2 0.000 0.500 0.750
P3 0.500 0.000 0.250
P4 0.500 0.500 0.000
N1 0.248 0.250 0.625
N2 0.250 0.748 0.875
N3 0.250 0.752 0.375
N4 0.252 0.250 0.125
N5 0.748 0.750 0.125
N6 0.750 0.248 0.375
N7 0.750 0.252 0.875
N8 0.752 0.750 0.625

=====

Li7ZrO6 | meta-GGA SCAN | PBEsol geometry

Output
Calculated density: 2.9 g/cm³
Size of the total moment: 1.0 μB/cell
E_form (uncorrected): -2.28 eV/atom
Total energy: -8.335 eV/atom

a b c (Å): 5.940 5.940 5.940
angles (deg): 56.13 56.13 56.13
Sites, in units of the cell vectors:
Li1 0.000 0.000 0.000
Li2 0.076 0.842 0.473
Li3 0.277 0.577 0.839
Li4 0.473 0.076 0.842
Li5 0.577 0.839 0.277
Li6 0.839 0.277 0.577
Li7 0.842 0.473 0.076
Zr1 0.348 0.348 0.348
O1 0.145 0.418 0.735
O2 0.228 0.978 0.586
O3 0.418 0.735 0.145
O4 0.586 0.228 0.978
O5 0.735 0.145 0.418
O6 0.978 0.586 0.228

=====

> Which formula does entry 10 have?

ReAg2As

=====

> Which value of total energy does entry 7 give?

-23.144 eV/atom